[1]
TaTi2Te2 after structural relaxation, computed with PBE-GGA.

Lattice parameters (Å, degrees): 7.596 7.596 3.470 90.00 90.00 90.00
Atoms (fractional coordinates):
Ta (0.000, 0.000, 0.000)
Ta (0.500, 0.500, 0.000)
Ti (0.141, 0.359, 0.000)
Ti (0.359, 0.859, 0.000)
Ti (0.641, 0.141, 0.000)
Ti (0.859, 0.641, 0.000)
Te (0.160, 0.660, 0.500)
Te (0.340, 0.160, 0.500)
Te (0.660, 0.840, 0.500)
Te (0.840, 0.340, 0.500)

Formation energy without anion corrections, meV/atom: 71
E, eV/atom: -6.7143
V, Å³/atom: 20.02
Symmetry: P4/mbm
ΔE to the lowest computed polymorph, eV per atom: 0.000

=====

[2]
PtPbW2 after structural relaxation, computed with PBE-GGA.

Lattice parameters (Å, degrees): 4.938 4.938 2.919 90.00 90.00 90.00
Atoms (fractional coordinates):
Pt (0.000, 0.000, 0.000)
Pb (0.500, 0.500, 0.000)
W (0.000, 0.500, 0.500)
W (0.500, 0.000, 0.500)

Formation enthalpy at 0 K, eV per atom: 0.8246
E, eV/atom: -8.0893
V, Å³/atom: 17.79
Symmetry: P4/mmm

=====

[3]
Tb12Tl5Ga2 after structural relaxation, computed with PBE-GGA.

Lattice parameters (Å, degrees): 9.371 9.371 9.095 94.90 94.90 44.54
Atoms (fractional coordinates):
Tb (0.001, 0.001, 0.302)
Tb (0.095, 0.590, 0.063)
Tb (0.097, 0.600, 0.484)
Tb (0.400, 0.903, 0.516)
Tb (0.410, 0.905, 0.937)
Tb (0.467, 0.467, 0.815)
Tb (0.533, 0.533, 0.185)
Tb (0.590, 0.095, 0.063)
Tb (0.600, 0.097, 0.484)
Tb (0.903, 0.400, 0.516)
Tb (0.905, 0.410, 0.937)
Tb (0.999, 0.999, 0.698)
Tl (0.205, 0.205, 0.243)
Tl (0.276, 0.276, 0.753)
Tl (0.500, 0.500, 0.500)
Tl (0.724, 0.724, 0.247)
Tl (0.795, 0.795, 0.757)
Ga (0.172, 0.828, 0.000)
Ga (0.828, 0.172, 0.000)

Formation enthalpy at 0 K, eV per atom: -0.2044
E, eV/atom: -4.0701
V, Å³/atom: 29.36
Symmetry: C2/m

=====

[4]
La4Mg5Ge6 after structural relaxation, computed with PBE-GGA.

Lattice parameters (Å, degrees): 10.365 10.365 16.213 90.00 90.00 154.76
Atoms (fractional coordinates):
La (0.014, 0.986, 0.500)
La (0.033, 0.967, 0.763)
La (0.165, 0.835, 0.301)
La (0.176, 0.824, 0.942)
La (0.824, 0.176, 0.442)
La (0.835, 0.165, 0.801)
La (0.967, 0.033, 0.263)
La (0.986, 0.014, 0.000)
Mg (0.155, 0.845, 0.622)
Mg (0.302, 0.698, 0.619)
Mg (0.340, 0.660, 0.265)
Mg (0.350, 0.650, 0.979)
Mg (0.441, 0.559, 0.668)
Mg (0.559, 0.441, 0.168)
Mg (0.650, 0.350, 0.479)
Mg (0.660, 0.340, 0.765)
Mg (0.698, 0.302, 0.119)
Mg (0.845, 0.155, 0.122)
Ge (0.113, 0.887, 0.118)
Ge (0.224, 0.776, 0.478)
Ge (0.231, 0.769, 0.764)
Ge (0.428, 0.572, 0.126)
Ge (0.433, 0.567, 0.399)
Ge (0.445, 0.555, 0.850)
Ge (0.555, 0.445, 0.350)
Ge (0.567, 0.433, 0.899)
Ge (0.572, 0.428, 0.626)
Ge (0.769, 0.231, 0.264)
Ge (0.776, 0.224, 0.978)
Ge (0.887, 0.113, 0.618)

Formation enthalpy at 0 K, eV per atom: -0.6553
E, eV/atom: -4.3478
V, Å³/atom: 24.76
Symmetry: Cmc2_1

=====

Among the records above, which one has the lowest V? PtPbW2

=====

What is the V in the third record? 29.36 Å³/atom

=====

What is the V in the fourth record? 24.76 Å³/atom

=====

Number 3 is which compound? Tb12Tl5Ga2